TmNiIrO6 PBE+U optimized geometry; E_tot = -6.46 eV/atom; N(E_F) = 0.4732 states/eV/atom; space group = P-31c (163)
1.0
-0.782 -1.734 -4.994
-2.119 -2.667 4.117
-7.105 4.792 -0.552
Ni Ir O Tm
2 2 12 2
Cartesian
0.000 0.000 0.000
-3.553 2.396 -0.276
-3.004 -0.847 -2.095
-7.002 1.238 0.666
-8.761 0.530 0.288
-4.777 -1.564 -2.381
-2.759 -2.282 -0.822
-5.229 1.955 0.952
-7.691 2.327 2.108
-6.720 -0.135 1.998
-7.247 2.673 -0.607
-3.286 0.526 -3.427
-2.315 -1.936 -3.537
-1.244 -0.140 -1.717
-3.642 0.313 -0.686
-6.364 0.078 -0.743
-3.450 -1.158 0.942
-6.556 1.549 -2.371